VASP calculation (GGA-PBEsol) on an optimized crystal structure of Hg6BiAs4Cl7.

```
Hg6BiAs4Cl7
1.0
12.1714 0.0000 0.0000
0.0000 12.1714 0.0000
0.0000 0.0000 12.1714
Cl Hg Bi As
28 24 4 16
Direct
0.4468 0.2887 0.5448
0.7113 0.0448 0.0532
0.4468 0.2113 0.0448
0.5000 0.5000 0.0000
0.5448 0.0532 0.7887
0.4552 0.5532 0.7113
0.7887 0.9552 0.5532
0.9468 0.2113 0.4552
0.0532 0.7887 0.5448
0.5532 0.7887 0.9552
0.9552 0.5532 0.7887
0.0532 0.7113 0.0448
0.5000 0.0000 0.5000
0.0448 0.4468 0.2113
0.7113 0.4552 0.5532
0.2887 0.5448 0.4468
0.9552 0.9468 0.2887
0.2113 0.4552 0.9468
0.0000 0.5000 0.5000
0.7887 0.5448 0.0532
0.4552 0.9468 0.2113
0.5532 0.7113 0.4552
0.0000 0.0000 0.0000
0.0448 0.0532 0.7113
0.5448 0.4468 0.2887
0.2113 0.0448 0.4468
0.2887 0.9552 0.9468
0.9468 0.2887 0.9552
0.4487 0.3199 0.8044
0.6956 0.9487 0.3199
0.5513 0.8199 0.6956
0.3044 0.4487 0.1801
0.8044 0.0513 0.8199
0.6801 0.1956 0.5513
0.9487 0.1801 0.1956
0.4487 0.1801 0.3044
0.6801 0.3044 0.0513
0.1801 0.1956 0.9487
0.1801 0.3044 0.4487
0.1956 0.9487 0.1801
0.3199 0.6956 0.9487
0.8044 0.4487 0.3199
0.3199 0.8044 0.4487
0.5513 0.6801 0.1956
0.8199 0.8044 0.0513
0.8199 0.6956 0.5513
0.0513 0.6801 0.3044
0.0513 0.8199 0.8044
0.9487 0.3199 0.6956
0.1956 0.5513 0.6801
0.6956 0.5513 0.8199
0.3044 0.0513 0.6801
0.5000 0.0000 0.0000
0.0000 0.0000 0.5000
0.5000 0.5000 0.5000
0.0000 0.5000 0.0000
0.2638 0.2362 0.7638
0.6474 0.1474 0.3526
0.2362 0.7638 0.2638
0.7362 0.7362 0.7362
0.1474 0.3526 0.6474
0.7362 0.7638 0.2362
0.8526 0.6474 0.3526
0.7638 0.2362 0.7362
0.7638 0.2638 0.2362
0.1474 0.1474 0.1474
0.2362 0.7362 0.7638
0.3526 0.6474 0.1474
0.3526 0.8526 0.6474
0.8526 0.8526 0.8526
0.6474 0.3526 0.8526
0.2638 0.2638 0.2638
```

Computed properties:
E: -0.1031 hartree per atom
Crystal system: cubic
ρ: 7.22 g/cm³